(1)
A plane-wave DFT calculation with PBE was carried out for a relaxed structure of BaCoRh2.

As for the calculated formation energy: 700 meV/atom. As for the crystal system: orthorhombic.

Geometry as extended XYZ:
```
8
Lattice="6.1789 0.0000 0.0000 0.0000 7.8546 0.0000 0.0000 0.0000 3.1437" Properties=species:S:1:pos:R:3 pbc="T T T"
Ba 0.0000 0.0000 0.0000
Ba 3.0894 3.9273 0.0000
Co 0.0000 3.9273 0.0000
Co 3.0894 0.0000 0.0000
Rh 1.5447 1.9636 1.5719
Rh 1.5447 5.8909 1.5719
Rh 4.6341 1.9636 1.5719
Rh 4.6341 5.8909 1.5719
```



(2)
A plane-wave DFT calculation with PBE was carried out for a relaxed structure of BaCo2Rh2.

As for the calculated formation energy: 216 meV/atom. As for the crystal system: tetragonal. The value obtained for the energy above the most stable polymorph in this dataset is 13 meV/atom.

Geometry as extended XYZ:
```
10
Lattice="4.3224 0.0000 0.0000 0.0000 4.3224 0.0000 0.0000 0.0000 10.3060" Properties=species:S:1:pos:R:3 pbc="T T T"
Ba 0.0000 0.0000 0.0000
Ba 2.1612 2.1612 5.1530
Co 0.0000 2.1612 2.5765
Co 0.0000 2.1612 7.7295
Co 2.1612 0.0000 2.5765
Co 2.1612 0.0000 7.7295
Rh 0.0000 0.0000 3.7747
Rh 0.0000 0.0000 6.5312
Rh 2.1612 2.1612 1.3783
Rh 2.1612 2.1612 8.9277
```



(3)
A plane-wave DFT calculation with PBE was carried out for a relaxed structure of BaCo2Rh.

As for the calculated formation energy: 739 meV/atom. As for the crystal system: orthorhombic.

Geometry as extended XYZ:
```
8
Lattice="3.1941 0.0000 0.0000 0.0000 5.2818 0.0000 0.0000 0.0000 9.5449" Properties=species:S:1:pos:R:3 pbc="T T T"
Ba 0.0000 0.0000 0.0000
Ba 1.5970 2.6409 4.7725
Co 0.0000 2.6409 1.9321
Co 0.0000 2.6409 7.6128
Co 1.5970 0.0000 2.8404
Co 1.5970 0.0000 6.7046
Rh 0.0000 0.0000 4.7725
Rh 1.5970 2.6409 0.0000
```



(4)
A plane-wave DFT calculation with PBE was carried out for a relaxed structure of BaCoRh2.

As for the calculated formation energy: 312 meV/atom. As for the crystal system: monoclinic.

Geometry as extended XYZ:
```
4
Lattice="4.1839 0.0000 0.0000 0.0000 4.1834 0.0000 -0.1348 0.0000 5.3018" Properties=species:S:1:pos:R:3 pbc="T T T"
Ba 0.0000 0.0000 0.0000
Co 1.9264 2.0917 3.6243
Rh 2.0388 0.0000 2.5911
Rh 4.0291 2.0917 2.5873
```